VASP calculation (PBE-GGA) on a relaxed structure of LaRh3S. Values from VASP.

```
&SYSTEM
  ibrav = 0, nat = 5, ntyp = 3
/
ATOMIC_SPECIES
La 138.91 La.upf
Rh 102.91 Rh.upf
S 32.06 S.upf
ATOMIC_POSITIONS angstrom
La 0.000 0.000 0.000
Rh 0.000 0.000 2.456
Rh 0.000 2.456 0.000
Rh 2.456 0.000 0.000
S 2.456 2.456 2.456
CELL_PARAMETERS angstrom
4.913 0.000 0.000
0.000 4.913 0.000
0.000 0.000 4.913
```

Results
The energy above the most stable polymorph in this dataset comes out at 1.7844 eV per atom. As for the symmetry: Pm-3m (221). The magnetic moment is 1.99 Bohr magnetons per cell. As for the uncorrected formation energy: 1261 meV/atom. The value obtained for the total energy is -0.1823 Ha/atom.